VASP calculation (PBE with a Hubbard U) on a relaxed structure of CoSNF2.

Structure (POSCAR):
```
CoSNF2
1.0
3.792 0.000 0.000
0.000 3.792 0.000
0.000 0.000 4.211
Co S N F
1 1 1 2
Direct
0.000 0.000 0.000
0.500 0.500 0.500
0.000 0.000 0.500
0.000 0.500 0.000
0.500 0.000 0.000
```

Calculated density ... 3.9 g/cm³
Magnetic moment ... 3.6 Bohr magnetons per cell


VASP calculation (PBE with a Hubbard U) on a relaxed structure of CoSN2F.

Structure (POSCAR):
```
CoSN2F
1.0
3.763 0.000 0.000
0.000 3.763 0.000
0.000 0.000 3.775
Co S N F
1 1 2 1
Direct
0.000 0.000 0.000
0.500 0.500 0.500
0.000 0.500 0.000
0.500 0.000 0.000
0.000 0.000 0.500
```

Calculated density ... 4.3 g/cm³
Magnetic moment ... 1.7 Bohr magnetons per cell


VASP calculation (PBE with a Hubbard U) on a relaxed structure of CoSN2F.

Structure (POSCAR):
```
CoSN2F
1.0
3.523 0.000 0.000
0.000 3.523 0.000
0.000 0.000 4.869
Co S N F
1 1 2 1
Direct
0.000 0.000 0.000
0.000 0.000 0.500
0.000 0.500 0.000
0.500 0.000 0.000
0.500 0.500 0.500
```

Calculated density ... 3.8 g/cm³
Magnetic moment ... 2.9 Bohr magnetons per cell


VASP calculation (PBE with a Hubbard U) on a relaxed structure of CoSN2F.

Structure (POSCAR):
```
CoSN2F
1.0
3.626 0.000 0.000
0.000 3.626 0.000
0.000 0.000 6.580
Co S N F
1 1 2 1
Direct
0.000 0.000 0.000
0.500 0.500 0.000
0.000 0.500 0.500
0.500 0.000 0.500
0.500 0.500 0.500
```

Calculated density ... 2.6 g/cm³
Magnetic moment ... 6.7 Bohr magnetons per cell


VASP calculation (PBE with a Hubbard U) on a relaxed structure of CoSbN2F.

Structure (POSCAR):
```
CoSbN2F
1.0
4.067 0.000 0.000
0.000 4.067 0.000
0.000 0.000 4.040
Co Sb N F
1 1 2 1
Direct
0.000 0.000 0.000
0.500 0.500 0.500
0.000 0.500 0.500
0.500 0.000 0.500
0.500 0.500 0.000
```

Calculated density ... 5.7 g/cm³
Magnetic moment ... 2.8 Bohr magnetons per cell


VASP calculation (PBE with a Hubbard U) on a relaxed structure of CoSbN2F.

Structure (POSCAR):
```
CoSbN2F
1.0
3.833 0.000 0.000
0.000 3.833 0.000
0.000 0.000 3.941
Co Sb N F
1 1 2 1
Direct
0.000 0.000 0.000
0.500 0.500 0.500
0.000 0.500 0.000
0.500 0.000 0.000
0.000 0.000 0.500
```

Calculated density ... 6.5 g/cm³
Magnetic moment ... 2.7 Bohr magnetons per cell


VASP calculation (PBE with a Hubbard U) on a relaxed structure of ScCoN2F.

Structure (POSCAR):
```
ScCoN2F
1.0
3.706 0.000 0.000
0.000 3.706 0.000
0.000 0.000 3.866
Sc Co N F
1 1 2 1
Direct
0.000 0.000 0.000
0.500 0.500 0.500
0.000 0.500 0.500
0.500 0.000 0.500
0.500 0.500 0.000
```

Calculated density ... 4.7 g/cm³
Magnetic moment ... 2.6 Bohr magnetons per cell


VASP calculation (PBE with a Hubbard U) on a relaxed structure of ScCoNF2.

Structure (POSCAR):
```
ScCoNF2
1.0
3.963 0.000 0.000
0.000 3.963 0.000
0.000 0.000 4.387
Sc Co N F
1 1 1 2
Direct
0.000 0.000 0.000
0.500 0.500 0.500
0.000 0.000 0.500
0.000 0.500 0.000
0.500 0.000 0.000
```

Calculated density ... 3.8 g/cm³
Magnetic moment ... 3.0 Bohr magnetons per cell


VASP calculation (PBE with a Hubbard U) on a relaxed structure of ScCoNF2.

Structure (POSCAR):
```
ScCoNF2
1.0
3.720 0.000 0.000
0.000 3.720 0.000
0.000 0.000 4.058
Sc Co N F
1 1 1 2
Direct
0.000 0.000 0.000
0.500 0.500 0.500
0.500 0.500 0.000
0.000 0.500 0.500
0.500 0.000 0.500
```

Calculated density ... 4.6 g/cm³
Magnetic moment ... 1.0 Bohr magnetons per cell


VASP calculation (PBE with a Hubbard U) on a relaxed structure of ScCoN2F.

Structure (POSCAR):
```
ScCoN2F
1.0
4.150 0.000 0.000
0.000 4.150 0.000
0.000 0.000 3.956
Sc Co N F
1 1 2 1
Direct
0.000 0.000 0.000
0.500 0.500 0.500
0.000 0.500 0.000
0.500 0.000 0.000
0.000 0.000 0.500
```

Calculated density ... 3.7 g/cm³
Magnetic moment ... 2.4 Bohr magnetons per cell


VASP calculation (PBE with a Hubbard U) on a relaxed structure of CoSiNF2.

Structure (POSCAR):
```
CoSiNF2
1.0
3.962 0.000 0.000
0.000 3.962 0.000
0.000 0.000 3.803
Co Si N F
1 1 1 2
Direct
0.000 0.000 0.000
0.500 0.500 0.500
0.000 0.000 0.500
0.000 0.500 0.000
0.500 0.000 0.000
```

Calculated density ... 3.9 g/cm³
Magnetic moment ... 3.2 Bohr magnetons per cell


VASP calculation (PBE with a Hubbard U) on a relaxed structure of CoSiN2F.

Structure (POSCAR):
```
CoSiN2F
1.0
3.682 0.000 0.000
0.000 3.682 0.000
0.000 0.000 4.140
Co Si N F
1 1 2 1
Direct
0.000 0.000 0.000
0.500 0.500 0.500
0.000 0.500 0.000
0.500 0.000 0.000
0.000 0.000 0.500
```

Calculated density ... 4.0 g/cm³
Magnetic moment ... 3.7 Bohr magnetons per cell


For reference, relative energy among the computed polymorphs by record: 0, 17, 179, 1049, 216, 0, 0, 0, 270, 382, 575, 904 meV/atom.
For reference, density of states at the Fermi level by record: 2.029, 1.379, 4.421, 1.321, 0.963, 2.333, 2.186, 1.379, 0.847, 2.494, 1.718, 2.216 states/eV/f.u..